The following is a PBE-GGA calculation of a relaxed LiCoNi4 crystal, from Alexandria.

Results
* E_form: 0.17 eV per atom
* energy above the lowest structure with this stoichiometry: 8 kJ/mol of formula units

Unit cell a=4.8791 b=13.6749 c=4.7519 alpha=90.00 beta=120.69 gamma=90.00
Last column: nearest neighbours and their distance in Å.
Space group C2/c (No. 15)
Symmetry-distinct sites (fractional):
Li (0.0000, 0.1250, 0.2500) [4 per cell]  2 Co 2.44, 8 Ni 2.45
Co (0.0000, 0.3750, 0.7500) [4 per cell]  8 Ni 2.38-2.46, 2 Li 2.44
Ni (0.2432, 0.2808, 0.2410) [8 per cell]  2 Co 2.38-2.46, 7 Ni 2.42-2.58, 2 Li 2.45
Ni (0.2478, 0.4692, 0.2407) [8 per cell]  2 Co 2.38-2.46, 7 Ni 2.42-2.58, 2 Li 2.45